This record from Alexandria describes a relaxed structure of Ba2MnW3O12. The functional is GGA+U.

Calculated values
magnetic moment	0.28	μB/atom
V	16.29	Å³ per atom
DFT total energy	-7.3244	eV/atom

Geometry as CIF:
```
data_Ba2MnW3O12
_cell_length_a 7.5087
_cell_length_b 7.5087
_cell_length_c 18.0210
_cell_angle_alpha 90.00
_cell_angle_beta 90.00
_cell_angle_gamma 120.00
_symmetry_space_group_name_H-M 'R -3 m'
_symmetry_Int_Tables_number 166
_symmetry_space_group_name_Hall '-R 3 2"'
loop_
_atom_site_label
_atom_site_type_symbol
_atom_site_fract_x
_atom_site_fract_y
_atom_site_fract_z
Ba1 Ba 0.0000 0.0000 0.1691
Mn1 Mn 0.0000 0.0000 0.5000
W1 W 0.0000 0.5000 0.0000
O1 O 0.0438 0.5219 0.1044
O2 O 0.0897 0.5448 0.3492
```